Compound: AlSbTe2
Source: Alexandria via LeMat-Bulk
Functional: PBE
Structure: relaxed

## Properties
* V: 243.51 Å³ per cell
* uncorrected formation energy: 43 meV per atom

Unit cell a=7.733 b=7.733 c=6.818 alpha=55.45 beta=55.45 gamma=90.00
Atoms (fractional coordinates):
Al 0.500 0.500 0.000
Al 0.250 0.750 0.500
Te 0.160 0.625 0.250
Te 0.875 0.840 0.750
Te 0.590 0.125 0.250
Te 0.375 0.410 0.750
Sb 0.750 0.250 0.500
Sb 0.000 0.000 0.000

---

Compound: LaTb2Nd4Th
Source: Alexandria via LeMat-Bulk
Functional: PBE
Structure: relaxed

## Properties
* V: 274.14 Å³ per cell
* formation energy: 0.03 eV/atom

Unit cell a=3.648 b=6.266 c=12.173 alpha=80.11 beta=90.00 gamma=90.00
Atoms (fractional coordinates):
Nd 0.000 0.751 0.746
Nd 0.500 0.742 0.255
Nd 0.000 0.249 0.254
Nd 0.500 0.258 0.745
Th 0.000 0.500 0.500
Tb 0.500 0.000 0.500
Tb 0.000 0.000 0.000
La 0.500 0.500 0.000

---

Compound: U2GeC
Source: Alexandria via LeMat-Bulk
Functional: PBE
Structure: relaxed

## Properties
* V: 77.51 Å³ per cell
* formation energy: 0.10 eV/atom

Unit cell a=3.682 b=3.682 c=6.937 alpha=74.61 beta=74.61 gamma=60.00
Atoms (fractional coordinates):
C 0.497 0.497 0.508
U 0.102 0.102 0.695
U 0.233 0.233 0.302
Ge 0.668 0.668 0.995

---

> Among the records above, which one has the highest V?

LaTb2Nd4Th